1.
{"formula": "Rb2TiTe3O12", "functional": "SCAN", "state": "single point on PBEsol structure", "m_tot_mub_per_cell": 0.0, "dft_energy_ev_per_atom": -15.28, "sg": "R-3m, No. 166", "raw_formation_energy_ev_per_atom": -1.721, "lattice_angstrom": [[7.161, 0.002, 0.002], [3.539, 6.226, 0.002], [3.539, 2.060, 5.876]], "species": ["O", "O", "Te", "O", "O", "Rb", "O", "O", "Rb", "O", "O", "Te", "Te", "O", "O", "O", "O", "Ti"], "fractional_positions": [[0.071, 0.674, 0.674], [0.674, 0.674, 0.071], [0.500, 0.000, 0.000], [0.929, 0.326, 0.326], [0.681, 0.066, 0.066], [0.632, 0.632, 0.632], [0.674, 0.071, 0.674], [0.934, 0.934, 0.319], [0.368, 0.368, 0.368], [0.934, 0.319, 0.934], [0.319, 0.934, 0.934], [0.000, 0.000, 0.500], [0.000, 0.500, 0.000], [0.066, 0.681, 0.066], [0.326, 0.929, 0.326], [0.326, 0.326, 0.929], [0.066, 0.066, 0.681], [0.000, 0.000, 0.000]]}

2.
{"formula": "Rb2TiO3", "functional": "SCAN", "state": "single point on PBEsol structure", "m_tot_mub_per_cell": 0.3, "dft_energy_ev_per_atom": -15.33, "sg": "Cmce, No. 64", "raw_formation_energy_ev_per_atom": -2.627, "lattice_angstrom": [[5.994, 0.000, 0.000], [-2.997, 5.931, 0.000], [0.000, 0.000, 13.252]], "species": ["O", "O", "O", "Rb", "Ti", "Rb", "Ti", "O", "Rb", "Rb", "O", "Rb", "Rb", "O", "Rb", "Rb", "O", "Ti", "O", "O", "Ti", "O", "O", "O"], "fractional_positions": [[0.400, 0.800, 0.136], [0.668, 0.335, 0.439], [0.900, 0.800, 0.364], [0.632, 0.264, 0.074], [0.755, 0.510, 0.331], [0.058, 0.115, 0.863], [0.745, 0.490, 0.831], [0.168, 0.335, 0.061], [0.442, 0.885, 0.363], [0.132, 0.264, 0.426], [0.332, 0.665, 0.561], [0.868, 0.736, 0.574], [0.558, 0.115, 0.637], [0.027, 0.553, 0.750], [0.368, 0.736, 0.926], [0.942, 0.885, 0.137], [0.473, 0.447, 0.250], [0.255, 0.510, 0.169], [0.973, 0.447, 0.250], [0.600, 0.200, 0.864], [0.245, 0.490, 0.669], [0.527, 0.553, 0.750], [0.832, 0.665, 0.939], [0.100, 0.200, 0.636]]}

3.
{"formula": "Rb4TiO4", "functional": "SCAN", "state": "single point on PBEsol structure", "m_tot_mub_per_cell": 0.5, "dft_energy_ev_per_atom": -16.00, "sg": "P2_1/c, No. 14", "raw_formation_energy_ev_per_atom": -2.234, "lattice_angstrom": [[-1.255, 4.754, 4.746], [-8.725, -5.753, 3.456], [9.097, -2.890, 5.302]], "species": ["O", "O", "O", "Rb", "Rb", "Rb", "Rb", "O", "O", "O", "Rb", "Rb", "Rb", "Ti", "O", "O", "O", "O", "Ti", "Ti", "Rb", "O", "Rb", "O", "Rb", "Rb", "Rb", "O", "O", "Rb", "O", "Rb", "O", "Rb", "Rb", "Ti"], "fractional_positions": [[0.664, 0.982, 0.141], [0.030, 0.865, 0.196], [0.336, 0.018, 0.859], [0.106, 0.417, 0.337], [0.394, 0.917, 0.337], [0.302, 0.296, 0.929], [0.198, 0.796, 0.929], [0.503, 0.661, 0.277], [0.497, 0.339, 0.723], [0.734, 0.527, 0.418], [0.915, 0.802, 0.439], [0.894, 0.583, 0.663], [0.828, 0.390, 0.869], [0.868, 0.009, 0.258], [0.766, 0.027, 0.418], [0.530, 0.635, 0.804], [0.470, 0.365, 0.196], [0.003, 0.839, 0.723], [0.368, 0.491, 0.742], [0.632, 0.509, 0.258], [0.672, 0.890, 0.869], [0.164, 0.518, 0.859], [0.698, 0.704, 0.071], [0.836, 0.482, 0.141], [0.172, 0.610, 0.131], [0.085, 0.198, 0.561], [0.585, 0.302, 0.439], [0.970, 0.135, 0.804], [0.234, 0.973, 0.582], [0.415, 0.698, 0.561], [0.266, 0.473, 0.582], [0.802, 0.204, 0.071], [0.997, 0.161, 0.277], [0.606, 0.083, 0.663], [0.328, 0.110, 0.131], [0.132, 0.991, 0.742]]}

4.
{"formula": "Rb4TiO4", "functional": "SCAN", "state": "single point on PBEsol structure", "m_tot_mub_per_cell": 0.0, "dft_energy_ev_per_atom": -16.00, "sg": "P-1, No. 2", "raw_formation_energy_ev_per_atom": -2.234, "lattice_angstrom": [[-4.211, 0.141, -5.138], [-6.387, -0.899, 1.744], [-4.054, 8.841, 1.287]], "species": ["O", "O", "O", "Rb", "Ti", "O", "O", "O", "Ti", "Rb", "Rb", "O", "Rb", "Rb", "Rb", "Rb", "O", "Rb"], "fractional_positions": [[0.949, 0.710, 0.627], [0.880, 0.831, 0.898], [0.435, 0.867, 0.342], [0.246, 0.412, 0.843], [0.266, 0.158, 0.248], [0.565, 0.133, 0.658], [0.051, 0.290, 0.373], [0.120, 0.169, 0.102], [0.734, 0.842, 0.752], [0.754, 0.588, 0.157], [0.247, 0.769, 0.033], [0.442, 0.326, 0.187], [0.220, 0.963, 0.623], [0.753, 0.231, 0.967], [0.780, 0.037, 0.377], [0.278, 0.510, 0.438], [0.558, 0.674, 0.813], [0.722, 0.490, 0.562]]}

5.
{"formula": "Rb2Ti6O13", "functional": "SCAN", "state": "single point on PBEsol structure", "m_tot_mub_per_cell": 0.0, "dft_energy_ev_per_atom": -13.60, "sg": "C2/m, No. 12", "raw_formation_energy_ev_per_atom": -3.188, "lattice_angstrom": [[3.810, 0.000, 0.000], [-1.905, 7.950, 0.041], [0.000, -1.669, 8.949]], "species": ["O", "O", "O", "Rb", "O", "Ti", "O", "Ti", "Ti", "O", "Ti", "O", "O", "Ti", "O", "O", "O", "Rb", "Ti", "O", "O"], "fractional_positions": [[0.861, 0.723, 0.384], [0.830, 0.660, 0.082], [0.139, 0.277, 0.616], [0.454, 0.909, 0.248], [0.238, 0.477, 0.240], [0.174, 0.348, 0.437], [0.081, 0.162, 0.290], [0.115, 0.229, 0.096], [0.766, 0.531, 0.221], [0.170, 0.340, 0.918], [0.234, 0.469, 0.779], [0.919, 0.838, 0.710], [0.297, 0.593, 0.572], [0.885, 0.771, 0.904], [0.000, 0.000, 0.000], [0.762, 0.523, 0.760], [0.359, 0.718, 0.889], [0.546, 0.091, 0.752], [0.826, 0.652, 0.563], [0.641, 0.282, 0.111], [0.703, 0.407, 0.428]]}

6.
{"formula": "Rb3TlO", "functional": "SCAN", "state": "single point on PBEsol structure", "m_tot_mub_per_cell": 1.8, "dft_energy_ev_per_atom": -28.69, "sg": "Pm-3m, No. 221", "raw_formation_energy_ev_per_atom": -0.527, "lattice_angstrom": [[5.636, 0.000, 0.000], [0.000, 5.636, 0.000], [0.000, 0.000, 5.636]], "species": ["Tl", "Rb", "O", "Rb", "Rb"], "fractional_positions": [[0.500, 0.500, 0.500], [0.000, 0.000, 0.500], [0.000, 0.000, 0.000], [0.500, 0.000, 0.000], [0.000, 0.500, 0.000]]}

7.
{"formula": "Rb5Tl3O", "functional": "SCAN", "state": "single point on PBEsol structure", "m_tot_mub_per_cell": 0.0, "dft_energy_ev_per_atom": -36.86, "sg": "Cmcm, No. 63", "raw_formation_energy_ev_per_atom": -0.529, "lattice_angstrom": [[8.651, 0.000, 0.000], [0.000, 9.027, 0.000], [-4.326, 0.000, 17.040]], "species": ["Rb", "Tl", "Rb", "Tl", "Rb", "Rb", "Tl", "Rb", "Tl", "O", "Rb", "O", "Rb", "Tl", "O", "Tl", "Rb", "Tl", "Tl", "Rb", "O", "Tl", "Tl", "Rb", "Rb", "Rb", "Rb", "Rb", "Rb", "Tl", "Rb", "Tl", "Rb", "Rb", "Rb", "Rb"], "fractional_positions": [[0.957, 0.750, 0.470], [0.671, 0.750, 0.749], [0.632, 0.250, 0.741], [0.182, 0.438, 0.364], [0.807, 0.750, 0.014], [0.794, 0.250, 0.986], [0.922, 0.544, 0.845], [0.513, 0.750, 0.470], [0.818, 0.562, 0.636], [0.509, 0.750, 0.017], [0.206, 0.750, 0.014], [0.677, 0.750, 0.354], [0.551, 0.034, 0.103], [0.818, 0.938, 0.636], [0.491, 0.250, 0.983], [0.078, 0.750, 0.749], [0.449, 0.534, 0.897], [0.329, 0.250, 0.251], [0.182, 0.062, 0.364], [0.368, 0.750, 0.259], [0.323, 0.250, 0.646], [0.922, 0.956, 0.845], [0.078, 0.456, 0.155], [0.321, 0.538, 0.642], [0.890, 0.750, 0.259], [0.321, 0.962, 0.642], [0.551, 0.466, 0.103], [0.449, 0.966, 0.897], [0.679, 0.038, 0.358], [0.922, 0.250, 0.251], [0.110, 0.250, 0.741], [0.078, 0.044, 0.155], [0.193, 0.250, 0.986], [0.043, 0.250, 0.530], [0.679, 0.462, 0.358], [0.487, 0.250, 0.530]]}

8.
{"formula": "Rb3TlO3", "functional": "SCAN", "state": "single point on PBEsol structure", "m_tot_mub_per_cell": 0.5, "dft_energy_ev_per_atom": -23.11, "sg": "P2_1/c, No. 14", "raw_formation_energy_ev_per_atom": -1.212, "lattice_angstrom": [[-2.105, -2.939, -6.108], [-5.083, -4.397, 3.868], [-7.494, 8.570, -1.541]], "species": ["O", "O", "O", "Rb", "Rb", "Rb", "O", "Rb", "Rb", "O", "Rb", "O", "Rb", "Rb", "O", "Tl", "O", "O", "Tl", "Rb", "Rb", "Rb", "O", "O", "Tl", "O", "Tl", "Rb"], "fractional_positions": [[0.536, 0.890, 0.606], [0.964, 0.890, 0.106], [0.631, 0.261, 0.037], [0.798, 0.370, 0.811], [0.131, 0.059, 0.656], [0.298, 0.630, 0.689], [0.935, 0.692, 0.802], [0.681, 0.641, 0.076], [0.869, 0.941, 0.344], [0.036, 0.110, 0.894], [0.202, 0.630, 0.189], [0.565, 0.692, 0.302], [0.319, 0.359, 0.924], [0.181, 0.359, 0.424], [0.869, 0.261, 0.537], [0.404, 0.834, 0.430], [0.435, 0.308, 0.698], [0.464, 0.110, 0.394], [0.096, 0.834, 0.930], [0.631, 0.941, 0.844], [0.702, 0.370, 0.311], [0.369, 0.059, 0.156], [0.131, 0.739, 0.463], [0.065, 0.308, 0.198], [0.904, 0.166, 0.070], [0.369, 0.739, 0.963], [0.596, 0.166, 0.570], [0.819, 0.641, 0.576]]}